# MgScCoGe, optimized geometry, DFT PBE
data_MgScCoGe
_chemical_formula_sum 'Mg4 Sc4 Co4 Ge4'
_cell_length_a 6.384
_cell_length_b 6.384
_cell_length_c 6.384
_cell_angle_alpha 90.00
_cell_angle_beta 90.00
_cell_angle_gamma 90.00
_symmetry_space_group_name_H-M 'F -4 3 m'
_symmetry_Int_Tables_number 216
_symmetry_space_group_name_Hall 'F -4 2 3'
loop_
_atom_site_label
_atom_site_type_symbol
_atom_site_fract_x
_atom_site_fract_y
_atom_site_fract_z
_atom_site_occupancy
Mg1 Mg 0.000 0.000 0.000 1
Sc1 Sc 0.000 0.000 0.500 1
Co1 Co 0.250 0.250 0.750 1
Ge1 Ge 0.250 0.250 0.250 1
# M_tot ... 0.1965 μB/atom
# Polymorph energy (0 for the lowest one) ... 1.6 meV/atom